Computed, not measured: MgZn2Pb after structural relaxation at the PBE level of DFT.

Calculated values
DFT formation energy: 81 meV per atom
D(E_F): 0.398 states/eV per atom
Crystal system: tetragonal

a = 4.451 Å, b = 4.451 Å, c = 4.286 Å
α = 90.00°, β = 90.00°, γ = 90.00°
Fractional coordinates of all 4 atoms:
Mg 0.000 0.000 0.000
Zn 0.000 0.500 0.500
Zn 0.500 0.000 0.500
Pb 0.500 0.500 0.000

---

Computed, not measured: LaCe2Sc after structural relaxation at the PBE level of DFT.

Calculated values
DFT formation energy: 558 meV per atom
D(E_F): 2.762 states/eV per atom
Crystal system: trigonal

a = 8.598 Å, b = 8.598 Å, c = 8.598 Å
α = 27.38°, β = 27.38°, γ = 27.38°
Fractional coordinates of all 4 atoms:
La 0.000 0.000 0.000
Ce 0.404 0.404 0.404
Ce 0.600 0.600 0.600
Sc 0.168 0.168 0.168

---

Computed, not measured: CaPrGa2Cu2 after structural relaxation at the PBE level of DFT.

Calculated values
DFT formation energy: -391 meV per atom
D(E_F): 0.729 states/eV per atom
Crystal system: trigonal

a = 4.329 Å, b = 4.329 Å, c = 7.962 Å
α = 90.00°, β = 90.00°, γ = 120.00°
Fractional coordinates of all 6 atoms:
Ca 0.000 0.000 0.000
Pr 0.000 0.000 0.500
Ga 0.333 0.667 0.747
Ga 0.667 0.333 0.253
Cu 0.333 0.667 0.247
Cu 0.667 0.333 0.753